{
  "formula": "Tl3CrF6",
  "functional": "meta-GGA SCAN",
  "state": "single point on PBEsol structure",
  "lattice": [[0.000, 4.461, 4.461], [4.461, 0.000, 4.461], [4.461, 4.461, 0.000]],
  "species": ["Tl", "Tl", "Tl", "Cr", "F", "F", "F", "F", "F", "F"],
  "fractional_positions": [[0.000, 0.000, 0.000], [0.250, 0.250, 0.250], [0.750, 0.750, 0.750], [0.500, 0.500, 0.500], [0.287, 0.287, 0.713], [0.287, 0.713, 0.287], [0.287, 0.713, 0.713], [0.713, 0.287, 0.287], [0.713, 0.287, 0.713], [0.713, 0.713, 0.287]],
  "e_form_raw_mev_per_atom": -2379
}



{
  "formula": "LaTl2ZnAg",
  "functional": "meta-GGA SCAN",
  "state": "single point on PBEsol structure",
  "lattice": [[5.280, 0.000, 0.000], [0.000, 5.280, 0.000], [0.000, 0.000, 4.817]],
  "species": ["La", "Tl", "Tl", "Zn", "Ag"],
  "fractional_positions": [[0.000, 0.000, 0.000], [0.000, 0.500, 0.500], [0.500, 0.000, 0.500], [0.500, 0.500, 0.000], [0.500, 0.500, 0.500]],
  "e_form_ev_per_fu": 0.2
}



{
  "formula": "LiBiPbO2",
  "functional": "meta-GGA SCAN",
  "state": "single point on PBEsol structure",
  "lattice": [[4.209, 0.000, 0.000], [0.000, 4.209, 0.000], [0.000, 0.000, 4.451]],
  "species": ["Li", "Bi", "Pb", "O", "O"],
  "fractional_positions": [[0.000, 0.000, 0.000], [0.500, 0.500, 0.500], [0.000, 0.000, 0.500], [0.000, 0.500, 0.000], [0.500, 0.000, 0.000]],
  "e_form_raw_mev_per_atom": 25
}



{
  "formula": "LiHfSe2",
  "functional": "meta-GGA SCAN",
  "state": "single point on PBEsol structure",
  "lattice": [[3.654, 0.000, 0.000], [-1.827, 3.164, 0.000], [0.000, 0.000, 6.587]],
  "species": ["Li", "Hf", "Se", "Se"],
  "fractional_positions": [[0.000, 0.000, 0.000], [0.000, 0.000, 0.500], [0.333, 0.667, 0.751], [0.667, 0.333, 0.249]],
  "e_form_raw_mev_per_atom": -1419
}